#1
Crystalline NbHg3Se4 at its relaxed geometry. Source: OQMD via LeMat-Bulk, functional PBE.

Computed properties:
Crystal system: cubic

Geometry as extended XYZ:
```
8
Lattice="6.900 0.000 0.000 0.000 6.900 0.000 0.000 0.000 6.900" Properties=species:S:1:pos:R:3 pbc="T T T"
Nb 0.000 0.000 0.000
Hg 0.000 0.000 3.450
Hg 0.000 3.450 0.000
Hg 3.450 0.000 0.000
Se 1.434 1.434 1.434
Se 1.434 5.466 5.466
Se 5.466 1.434 5.466
Se 5.466 5.466 1.434
```



#2
Crystalline NbHg3Se4 at its relaxed geometry. Source: OQMD via LeMat-Bulk, functional PBE.

Computed properties:
Crystal system: cubic

Geometry as extended XYZ:
```
8
Lattice="-3.758 3.758 3.758 3.758 -3.758 3.758 3.758 3.758 -3.758" Properties=species:S:1:pos:R:3 pbc="T T T"
Nb 0.000 0.000 0.000
Hg 3.758 0.000 0.000
Hg 0.000 3.758 0.000
Hg 0.000 0.000 3.758
Se 1.415 1.415 -1.415
Se 1.415 -1.415 1.415
Se -1.415 1.415 1.415
Se 2.343 2.343 2.343
```



Relative to the most stable structure, the computed energies are #1 0; #2 70, all in meV/atom.



#1
Crystalline SmNbHg at its relaxed geometry. Source: OQMD via LeMat-Bulk, functional PBE.

Computed properties:
Crystal system: cubic

Geometry as extended XYZ:
```
3
Lattice="0.000 3.509 3.509 3.509 0.000 3.509 3.509 3.509 0.000" Properties=species:S:1:pos:R:3 pbc="T T T"
Sm 0.000 0.000 0.000
Nb 1.755 1.755 1.755
Hg 5.264 5.264 5.264
```



#2
Crystalline SmNbHg at its relaxed geometry. Source: OQMD via LeMat-Bulk, functional PBE.

Computed properties:
Crystal system: cubic

Geometry as extended XYZ:
```
3
Lattice="0.000 3.465 3.465 3.465 0.000 3.465 3.465 3.465 0.000" Properties=species:S:1:pos:R:3 pbc="T T T"
Sm 0.000 0.000 0.000
Nb 3.465 3.465 3.465
Hg 5.197 5.197 5.197
```



Relative to the most stable structure, the computed energies are #1 393; #2 0, all in meV/atom.